Entry from Alexandria via LeMat-Bulk: a geometry-optimized NiPO3 structure (PBE with a Hubbard U).

Lattice parameters (Å, degrees): 2.5086 5.7872 8.2709 86.28 98.72 90.00
Last column: nearest neighbours and their distance in Å.
Element x y z (fractional)
Ni: 0.8344 0.8491 0.6687  3 O 2.00-2.02
Ni: 0.1656 0.1509 0.3313  3 O 2.00-2.02
P: 0.6092 0.6810 0.2184  3 O 1.53-1.70
P: 0.3908 0.3190 0.7816  3 O 1.53-1.70
O: 0.0413 0.7415 0.0826  2 P 1.70
O: 0.9587 0.2585 0.9174  2 P 1.70
O: 0.3321 0.1234 0.6642  1 P 1.53
O: 0.6679 0.8766 0.3358  1 P 1.53
O: 0.1511 0.4973 0.3022  2 P 1.75
O: 0.8489 0.5027 0.6978  2 P 1.75

Volume ... 11.84 Å³ per atom
Space-group type ... C2/m
E ... -5.74 eV/atom
Magnetization ... 0.200 μB/atom
Theoretical density ... 3.86 g/cm³